This record from OQMD via LeMat-Bulk describes a geometry-optimized Li2Hf2GaGeIr2 structure. The functional is PBE.

Raw total energy, eV/atom: -6.833

a = 4.435 Å, b = 4.435 Å, c = 6.278 Å
α = 90.00°, β = 90.00°, γ = 90.00°
Space group P-4m2 (No. 115)
Inequivalent atoms, fractional coordinates:
Li1 0.000 0.500 0.250 x2
Hf1 0.000 0.000 0.000 x1
Hf2 0.500 0.500 0.500 x1
Ga1 0.000 0.000 0.500 x1
Ge1 0.500 0.500 0.000 x1
Ir1 0.000 0.500 0.752 x2

This record from OQMD via LeMat-Bulk describes a geometry-optimized Hf4GaGeN2 structure. The functional is PBE.

Raw total energy, eV/atom: -9.145

a = 3.2201 Å, b = 3.2201 Å, c = 13.6790 Å
α = 90.00°, β = 90.00°, γ = 120.00°
Space group P-6m2 (No. 187)
Inequivalent atoms, fractional coordinates:
Hf1 0.0000 0.0000 0.1550 x2
Hf2 0.3333 0.6667 0.3391 x2
Ga1 0.0000 0.0000 0.5000 x1
Ge1 0.3333 0.6667 0.0000 x1
N1 0.6667 0.3333 0.2481 x2

This record from OQMD via LeMat-Bulk describes a geometry-optimized Ga2Hg2Ge3 structure. The functional is PBE.

Raw total energy, eV/atom: -2.681

a = 4.8159 Å, b = 4.8159 Å, c = 22.9411 Å
α = 90.00°, β = 90.00°, γ = 120.00°
Space group R3m (No. 160, hexagonal axes)
Inequivalent atoms, fractional coordinates:
Ga1 0.0000 0.0000 0.0000 x3
Ga2 0.0000 0.0000 0.4908 x3
Hg1 0.0000 0.0000 0.2370 x3
Hg2 0.0000 0.0000 0.7522 x3
Ge1 0.0000 0.0000 0.3693 x3
Ge2 0.0000 0.0000 0.6209 x3
Ge3 0.0000 0.0000 0.8726 x3

This record from OQMD via LeMat-Bulk describes a geometry-optimized HoGaGe structure. The functional is PBE.

Raw total energy, eV/atom: -4.631

a = 7.2161 Å, b = 7.2161 Å, c = 4.1091 Å
α = 90.00°, β = 90.00°, γ = 120.00°
Space group P-62m (No. 189)
Inequivalent atoms, fractional coordinates:
Ho1 0.0000 0.3871 0.0000 x3
Ga1 0.0000 0.7333 0.5000 x3
Ge1 0.0000 0.0000 0.0000 x1
Ge2 0.3333 0.6667 0.5000 x2

This record from OQMD via LeMat-Bulk describes a geometry-optimized Ho2Ga3Ge2 structure. The functional is PBE.

Raw total energy, eV/atom: -4.468

a = 10.345 Å, b = 4.073 Å, c = 6.770 Å
α = 90.00°, β = 100.11°, γ = 90.00°
Space group C2/m (No. 12)
Inequivalent atoms, fractional coordinates:
Ho1 0.114 0.000 0.307 x4
Ga1 0.000 0.500 0.000 x2
Ga2 0.199 0.000 0.872 x4
Ge1 0.102 0.500 0.631 x4

This record from OQMD via LeMat-Bulk describes a geometry-optimized HoGaGe structure. The functional is PBE.

Raw total energy, eV/atom: -4.418

a = 7.5626 Å, b = 7.5626 Å, c = 4.0636 Å
α = 90.00°, β = 90.00°, γ = 120.00°
Space group P-62m (No. 189)
Inequivalent atoms, fractional coordinates:
Ho1 0.0000 0.7245 0.0000 x3
Ga1 0.0000 0.4078 0.5000 x3
Ge1 0.0000 0.0000 0.5000 x1
Ge2 0.3333 0.6667 0.0000 x2

This record from OQMD via LeMat-Bulk describes a geometry-optimized Ho3In2GaGe2Pt structure. The functional is PBE.

Raw total energy, eV/atom: -4.921

a = 4.271 Å, b = 12.859 Å, c = 7.046 Å
α = 90.00°, β = 90.00°, γ = 90.00°
Space group Amm2 (No. 38)
Inequivalent atoms, fractional coordinates:
Ho1 0.000 0.000 0.000 x2
Ho2 0.000 0.205 0.379 x4
In1 0.500 0.121 0.700 x4
Ga1 0.500 0.000 0.334 x2
Ge1 0.500 0.162 0.090 x4
Pt1 0.000 0.000 0.558 x2

This record from OQMD via LeMat-Bulk describes a geometry-optimized Ho2MgGa3Ge2Pt structure. The functional is PBE.

Raw total energy, eV/atom: -4.596

a = 4.193 Å, b = 11.645 Å, c = 7.087 Å
α = 90.00°, β = 90.00°, γ = 90.00°
Space group Amm2 (No. 38)
Inequivalent atoms, fractional coordinates:
Ho1 0.000 0.210 0.000 x4
Mg1 0.000 0.000 0.382 x2
Ga1 0.500 0.000 0.015 x2
Ga2 0.500 0.123 0.670 x4
Ge1 0.500 0.161 0.287 x4
Pt1 0.000 0.000 0.767 x2

This record from OQMD via LeMat-Bulk describes a geometry-optimized Nd2HoGa3Ge2Pt structure. The functional is PBE.

Raw total energy, eV/atom: -5.090

a = 4.284 Å, b = 12.394 Å, c = 7.135 Å
α = 90.00°, β = 90.00°, γ = 90.00°
Space group Amm2 (No. 38)
Inequivalent atoms, fractional coordinates:
Nd1 0.000 0.207 0.000 x4
Ho1 0.000 0.000 0.380 x2
Ga1 0.500 0.000 0.023 x2
Ga2 0.500 0.114 0.674 x4
Ge1 0.500 0.160 0.295 x4
Pt1 0.000 0.000 0.783 x2

This record from OQMD via LeMat-Bulk describes a geometry-optimized Ho3Ga3Ni2Ge structure. The functional is PBE.

Energy above the lowest structure with this stoichiometry, meV per atom: 347

a = 7.8080 Å, b = 7.8080 Å, c = 3.2945 Å
α = 90.00°, β = 90.00°, γ = 120.00°
Space group P-62m (No. 189)
Inequivalent atoms, fractional coordinates:
Ho1 0.0000 0.3065 0.0000 x3
Ga1 0.0000 0.6239 0.5000 x3
Ni1 0.3333 0.6667 0.0000 x2
Ge1 0.0000 0.0000 0.5000 x1

This record from OQMD via LeMat-Bulk describes a geometry-optimized Ho3Ga3Ni2Ge structure. The functional is PBE.

Energy above the lowest structure with this stoichiometry, meV per atom: 0

a = 7.2220 Å, b = 7.2220 Å, c = 3.7443 Å
α = 90.00°, β = 90.00°, γ = 120.00°
Space group P-62m (No. 189)
Inequivalent atoms, fractional coordinates:
Ho1 0.0000 0.6006 0.0000 x3
Ga1 0.0000 0.2776 0.5000 x3
Ni1 0.3333 0.6667 0.5000 x2
Ge1 0.0000 0.0000 0.0000 x1

This record from OQMD via LeMat-Bulk describes a geometry-optimized Ho4GaNi2Ge4 structure. The functional is PBE.

Raw total energy, eV/atom: -5.418

a = 15.266 Å, b = 4.225 Å, c = 6.926 Å
α = 90.00°, β = 108.13°, γ = 90.00°
Space group C2/m (No. 12)
Inequivalent atoms, fractional coordinates:
Ho1 0.090 0.000 0.387 x4
Ho2 0.152 0.000 0.941 x4
Ga1 0.000 0.500 0.000 x2
Ni1 0.217 0.500 0.646 x4
Ge1 0.064 0.500 0.667 x4
Ge2 0.204 0.500 0.272 x4

Number 1: calculated volume 15.44 Å³ per atom. Number 2: calculated volume 15.35 Å³ per atom. Number 3: calculated volume 21.94 Å³ per atom. Number 4: calculated volume 20.59 Å³ per atom. Number 5: calculated volume 20.06 Å³ per atom. Number 6: calculated volume 22.36 Å³ per atom. Number 7: calculated volume 21.50 Å³ per atom. Number 8: calculated volume 19.23 Å³ per atom. Number 9: calculated volume 21.05 Å³ per atom. Number 10: calculated volume 19.33 Å³ per atom. Number 11: calculated volume 18.79 Å³ per atom. Number 12: calculated volume 19.30 Å³ per atom.